No. 1
Computed, not measured: a relaxed structure of Ni9W4 at the GGA-PBE level of DFT.

For the total energy, the calculation gives -7.80 eV/atom. The calculation puts the volume at 12.54 A^3/atom. For the polymorph energy (0 for the lowest one), the calculation gives 0.0658 eV per atom. As for the formation enthalpy at 0 K: 0.044 eV/atom.

The structure belongs to space group R-3m (No. 166, hexagonal axes); the cell edges are 4.7388, 4.7388 and 25.1446 Å and the angles 90.00°, 90.00° and 120.00°. Symmetry generates all atoms from Ni at (0.0000, 0.0000, 0.0000), Ni at (0.0000, 0.0000, 0.3489), Ni at (0.0031, 0.5016, 0.4086), W at (0.0000, 0.0000, 0.1631) and W at (0.0000, 0.0000, 0.4494).



No. 2
Computed, not measured: a relaxed structure of Ni3W2 at the GGA-PBE level of DFT.

For the total energy, the calculation gives -8.44 eV/atom. The calculation puts the volume at 13.01 A^3/atom. For the polymorph energy (0 for the lowest one), the calculation gives 0.0094 eV per atom. As for the formation enthalpy at 0 K: 0.084 eV/atom.

The structure belongs to space group P4_2/mnm (No. 136); the cell edges are 8.940, 8.940 and 4.884 Å and the angles 90.00°, 90.00° and 90.00°. Symmetry generates all atoms from Ni at (0.000, 0.000, 0.000), Ni at (0.032, 0.370, 0.500), Ni at (0.063, 0.260, 0.000), W at (0.102, 0.102, 0.500) and W at (0.188, 0.812, 0.250).



No. 3
Computed, not measured: a relaxed structure of Ni9W4 at the GGA-PBE level of DFT.

For the total energy, the calculation gives -7.86 eV/atom. The calculation puts the volume at 12.17 A^3/atom. For the polymorph energy (0 for the lowest one), the calculation gives 0.0000 eV per atom. As for the formation enthalpy at 0 K: -0.022 eV/atom.

The structure belongs to space group R-3m (No. 166, hexagonal axes); the cell edges are 4.6611, 4.6611 and 25.2218 Å and the angles 90.00°, 90.00° and 120.00°. Symmetry generates all atoms from Ni at (0.0000, 0.0000, 0.0000), Ni at (0.0000, 0.0000, 0.4528), Ni at (0.0027, 0.5014, 0.4111), W at (0.0000, 0.0000, 0.1669) and W at (0.0000, 0.0000, 0.3537).



No. 4
Computed, not measured: a relaxed structure of Ni2W at the GGA-PBE level of DFT.

For the total energy, the calculation gives -7.86 eV/atom. The calculation puts the volume at 12.94 A^3/atom. As for the formation enthalpy at 0 K: 0.171 eV/atom.

The structure belongs to space group P4_2/mnm (No. 136); the cell edges are 9.142, 9.142 and 4.646 Å and the angles 90.00°, 90.00° and 90.00°. Symmetry generates all atoms from Ni at (0.034, 0.370, 0.000), Ni at (0.107, 0.107, 0.000), Ni at (0.179, 0.821, 0.246), W at (0.000, 0.000, 0.500) and W at (0.064, 0.270, 0.500).



No. 5
Computed, not measured: a relaxed structure of Ni4W11 at the GGA-PBE level of DFT.

For the total energy, the calculation gives -10.78 eV/atom. The calculation puts the volume at 15.09 A^3/atom. For the polymorph energy (0 for the lowest one), the calculation gives 0.1335 eV per atom. As for the formation enthalpy at 0 K: 0.210 eV/atom.

The structure belongs to space group P4_2/mnm (No. 136); the cell edges are 9.369, 9.369 and 5.157 Å and the angles 90.00°, 90.00° and 90.00°. Symmetry generates all atoms from Ni at (0.032, 0.365, 0.000), W at (0.000, 0.000, 0.500), W at (0.053, 0.272, 0.500), W at (0.102, 0.102, 0.000) and W at (0.193, 0.807, 0.250).



No. 6
Computed, not measured: a relaxed structure of Ni6W7 at the GGA-PBE level of DFT.

For the total energy, the calculation gives -9.55 eV/atom. The calculation puts the volume at 13.37 A^3/atom. For the polymorph energy (0 for the lowest one), the calculation gives 0.0000 eV per atom. As for the formation enthalpy at 0 K: 0.001 eV/atom.

The structure belongs to space group R-3m (No. 166, hexagonal axes); the cell edges are 4.7794, 4.7794 and 26.3508 Å and the angles 90.00°, 90.00° and 120.00°. Symmetry generates all atoms from Ni at (0.0039, 0.5019, 0.4117), W at (0.0000, 0.0000, 0.0000), W at (0.0000, 0.0000, 0.1624), W at (0.0000, 0.0000, 0.3482) and W at (0.0000, 0.0000, 0.4528).



No. 7
Computed, not measured: a relaxed structure of Ni2W at the GGA-PBE level of DFT.

For the total energy, the calculation gives -7.67 eV/atom. The calculation puts the volume at 13.49 A^3/atom. As for the formation enthalpy at 0 K: 0.360 eV/atom.

The structure belongs to space group Cmcm (No. 63); the cell edges are 5.092, 8.365 and 7.603 Å and the angles 90.00°, 90.00° and 90.00°. Symmetry generates all atoms from Ni at (0.000, 0.000, 0.000), Ni at (0.000, 0.159, 0.250), Ni at (0.000, 0.356, 0.575) and W at (0.247, 0.399, 0.250).



No. 8
Computed, not measured: a relaxed structure of NiW3 at the GGA-PBE level of DFT.

For the total energy, the calculation gives -10.85 eV/atom. The calculation puts the volume at 14.97 A^3/atom. As for the formation enthalpy at 0 K: 0.259 eV/atom.

The structure belongs to space group Fm-3m (No. 225); the cell edges are 6.210, 6.210 and 6.210 Å and the angles 90.00°, 90.00° and 90.00°. Symmetry generates all atoms from Ni at (0.000, 0.000, 0.000), W at (0.000, 0.000, 0.500) and W at (0.250, 0.250, 0.250).